VASP calculation (PBE) on a relaxed KZrAg2 crystal.

The structure in POSCAR format:
```
KZrAg2
1.0
5.6303 0.0345 0.0000
-0.0338 5.6303 0.0000
0.0000 0.0000 2.9561
Ag K Zr
2 1 1
direct
0.0000 0.0000 0.0000
0.5000 0.5000 0.0000
0.5000 0.0000 0.5000
0.0000 0.5000 0.5000
```

D(E_F): 2.608 states/eV/cell
ΔH_f (0 K): 0.252 eV/atom
space group: No. 123
E: -3.585 eV per atom